# Li7Ni13O24 meta-GGA SCAN single point on PBEsol structure
# Formation energy without anion corrections = -1.44 eV/atom
# Density of states at the Fermi level = 0.29 states/eV/atom
data_Li7Ni13O24
_chemical_formula_sum 'Li14 Ni26 O48'
_cell_length_a 12.3819
_cell_length_b 8.5265
_cell_length_c 9.5411
_cell_angle_alpha 90.00
_cell_angle_beta 128.70
_cell_angle_gamma 90.00
_symmetry_space_group_name_H-M 'C 1 2/m 1'
_symmetry_Int_Tables_number 12
loop_
_symmetry_equiv_pos_as_xyz
'x,y,z'
'-x,-y,-z'
'-x,y,-z'
'x,-y,z'
'x+1/2,y+1/2,z'
'-x+1/2,-y+1/2,-z'
'-x+1/2,y+1/2,-z'
'x+1/2,-y+1/2,z'
loop_
_atom_site_label
_atom_site_type_symbol
_atom_site_fract_x
_atom_site_fract_y
_atom_site_fract_z
Li1 Li 0.0000 0.0000 0.0000
Li2 Li 0.0000 0.1662 0.5000
Li3 Li 0.0000 0.3219 0.0000
Li4 Li 0.2465 0.5000 0.2495
Ni1 Ni 0.0000 0.5000 0.5000
Ni2 Ni 0.1246 0.0000 0.3674
Ni3 Ni 0.1258 0.3324 0.3740
Ni4 Ni 0.1256 0.5000 0.8694
Ni5 Ni 0.1298 0.1652 0.8759
O1 O 0.0499 0.1648 0.1982
O2 O 0.0516 0.3413 0.6883
O3 O 0.0582 0.5000 0.1966
O4 O 0.0765 0.0000 0.7093
O5 O 0.1711 0.5000 0.5326
O6 O 0.1845 0.3374 0.0352
O7 O 0.1897 0.1571 0.5401
O8 O 0.1912 0.0000 0.0503